# NpMoPb2O6

A geometry-optimized NpMoPb2O6 structure (GGA+U, Alexandria via LeMat-Bulk).

a = 5.8917 Å, b = 5.9708 Å, c = 8.5073 Å
α = 90.00°, β = 90.03°, γ = 90.00°
Last column: magnetic moment on the atom in μB.
Atoms (fractional coordinates):
Pb 0.0027 0.0332 0.7475  0.01
O 0.7978 0.7978 0.5327  -0.04
O 0.7022 0.2978 0.9673  -0.04
Pb 0.9973 0.9668 0.2525  0.01
O 0.0786 0.4776 0.7479  -0.02
O 0.7025 0.2930 0.5372  -0.04
Mo 0.5000 0.0000 0.0000  2.61
O 0.4214 0.9776 0.7521  -0.02
O 0.7975 0.7930 0.9628  -0.04
O 0.2022 0.2022 0.4673  -0.04
O 0.9214 0.5224 0.2521  -0.02
O 0.2975 0.7070 0.4628  -0.04
Pb 0.5027 0.4668 0.2475  0.01
O 0.2978 0.7022 0.0327  -0.04
Np 0.0000 0.5000 0.0000  2.37
Mo 0.0000 0.5000 0.5000  2.61
Pb 0.4973 0.5332 0.7525  0.01
O 0.5786 0.0224 0.2479  -0.02
Np 0.5000 0.0000 0.5000  2.37
O 0.2025 0.2070 0.0372  -0.04

Calculated values
Calculated total energy ... -152.1 eV/cell